This record from Alexandria via LeMat-Bulk describes a geometry-optimized RbCdSb3 structure. The functional is GGA-PBEsol.

Structure (CIF):
```
data_RbCdSb3
_symmetry_space_group_name_H-M 'P 1'
_symmetry_Int_Tables_number 1
_cell_length_a 5.588
_cell_length_b 5.588
_cell_length_c 5.588
_cell_angle_alpha 90.00
_cell_angle_beta 90.00
_cell_angle_gamma 90.00
loop_
_symmetry_equiv_pos_as_xyz
'x,y,z'
loop_
_atom_site_label
_atom_site_fract_x
_atom_site_fract_y
_atom_site_fract_z
_atom_site_occupancy
Rb1 0.000 0.000 0.000 1
Cd1 0.500 0.500 0.500 1
Sb1 0.000 0.500 0.500 1
Sb2 0.500 0.000 0.500 1
Sb3 0.500 0.500 0.000 1
```

## Properties
Raw total energy in eV per atom: -2.877
Formation energy (no corrections) in eV/atom: 0.302
Density in g cm⁻³: 5.36
Space group: Pm-3m, No. 221

***

This record from Alexandria via LeMat-Bulk describes a geometry-optimized RbCd2Sb2 structure. The functional is GGA-PBEsol.

Structure (CIF):
```
data_RbCd2Sb2
_symmetry_space_group_name_H-M 'P 1'
_symmetry_Int_Tables_number 1
_cell_length_a 7.150
_cell_length_b 7.150
_cell_length_c 7.150
_cell_angle_alpha 140.31
_cell_angle_beta 140.31
_cell_angle_gamma 57.38
loop_
_symmetry_equiv_pos_as_xyz
'x,y,z'
loop_
_atom_site_label
_atom_site_fract_x
_atom_site_fract_y
_atom_site_fract_z
_atom_site_occupancy
Rb1 0.000 0.000 0.000 1
Cd1 0.391 0.391 0.000 1
Cd2 0.609 0.609 0.000 1
Sb1 0.250 0.750 0.500 1
Sb2 0.750 0.250 0.500 1
```

## Properties
Raw total energy in eV per atom: -2.692
Formation energy (no corrections) in eV/atom: -0.185
Density in g cm⁻³: 6.22
Space group: I4/mmm, No. 139

***

This record from Alexandria via LeMat-Bulk describes a geometry-optimized RbScCd2 structure. The functional is GGA-PBEsol.

Structure (CIF):
```
data_RbScCd2
_symmetry_space_group_name_H-M 'P 1'
_symmetry_Int_Tables_number 1
_cell_length_a 5.390
_cell_length_b 5.390
_cell_length_c 5.390
_cell_angle_alpha 60.00
_cell_angle_beta 60.00
_cell_angle_gamma 60.00
loop_
_symmetry_equiv_pos_as_xyz
'x,y,z'
loop_
_atom_site_label
_atom_site_fract_x
_atom_site_fract_y
_atom_site_fract_z
_atom_site_occupancy
Rb1 0.000 0.000 0.000 1
Sc1 0.500 0.500 0.500 1
Cd1 0.250 0.250 0.250 1
Cd2 0.750 0.750 0.750 1
```

## Properties
Raw total energy in eV per atom: -2.224
ΔE_f in eV per atom: 0.282
Density in g cm⁻³: 5.33
Space group: Fm-3m, No. 225

***

This record from Alexandria via LeMat-Bulk describes a geometry-optimized Rb2Cd3Se4 structure. The functional is GGA-PBEsol.

Structure (CIF):
```
data_Rb2Cd3Se4
_symmetry_space_group_name_H-M 'P 1'
_symmetry_Int_Tables_number 1
_cell_length_a 14.507
_cell_length_b 10.957
_cell_length_c 6.788
_cell_angle_alpha 90.00
_cell_angle_beta 90.00
_cell_angle_gamma 90.00
loop_
_symmetry_equiv_pos_as_xyz
'x,y,z'
loop_
_atom_site_label
_atom_site_fract_x
_atom_site_fract_y
_atom_site_fract_z
_atom_site_occupancy
Rb1 0.000 0.000 0.000 1
Rb2 0.000 0.500 0.000 1
Rb3 0.039 0.250 0.476 1
Rb4 0.461 0.750 0.976 1
Rb5 0.500 0.000 0.500 1
Rb6 0.500 0.500 0.500 1
Rb7 0.539 0.250 0.024 1
Rb8 0.961 0.750 0.524 1
Cd1 0.204 0.750 0.254 1
Cd2 0.245 0.095 0.186 1
Cd3 0.245 0.405 0.186 1
Cd4 0.255 0.595 0.686 1
Cd5 0.255 0.905 0.686 1
Cd6 0.296 0.250 0.754 1
Cd7 0.704 0.750 0.246 1
Cd8 0.745 0.095 0.314 1
Cd9 0.745 0.405 0.314 1
Cd10 0.755 0.595 0.814 1
Cd11 0.755 0.905 0.814 1
Cd12 0.796 0.250 0.746 1
Se1 0.136 0.537 0.406 1
Se2 0.136 0.963 0.406 1
Se3 0.139 0.250 0.959 1
Se4 0.150 0.750 0.890 1
Se5 0.350 0.250 0.390 1
Se6 0.361 0.750 0.459 1
Se7 0.364 0.037 0.906 1
Se8 0.364 0.463 0.906 1
Se9 0.636 0.537 0.094 1
Se10 0.636 0.963 0.094 1
Se11 0.639 0.250 0.541 1
Se12 0.650 0.750 0.610 1
Se13 0.850 0.250 0.110 1
Se14 0.861 0.750 0.041 1
Se15 0.864 0.037 0.594 1
Se16 0.864 0.463 0.594 1
```

## Properties
Raw total energy in eV per atom: -3.156
Formation energy (no corrections) in eV/atom: -0.818
Density in g cm⁻³: 5.07
Space group: Pnma, No. 62

***

This record from Alexandria via LeMat-Bulk describes a geometry-optimized Rb2CdSi structure. The functional is GGA-PBEsol.

Structure (CIF):
```
data_Rb2CdSi
_symmetry_space_group_name_H-M 'P 1'
_symmetry_Int_Tables_number 1
_cell_length_a 5.944
_cell_length_b 5.944
_cell_length_c 5.944
_cell_angle_alpha 60.00
_cell_angle_beta 60.00
_cell_angle_gamma 60.00
loop_
_symmetry_equiv_pos_as_xyz
'x,y,z'
loop_
_atom_site_label
_atom_site_fract_x
_atom_site_fract_y
_atom_site_fract_z
_atom_site_occupancy
Rb1 0.250 0.250 0.250 1
Rb2 0.750 0.750 0.750 1
Cd1 0.000 0.000 0.000 1
Si1 0.500 0.500 0.500 1
```

## Properties
Raw total energy in eV per atom: -1.771
Formation energy (no corrections) in eV/atom: 0.477
Density in g cm⁻³: 3.48
Space group: Fm-3m, No. 225

***

This record from Alexandria via LeMat-Bulk describes a geometry-optimized Rb3CdSn structure. The functional is GGA-PBEsol.

Structure (CIF):
```
data_Rb3CdSn
_symmetry_space_group_name_H-M 'P 1'
_symmetry_Int_Tables_number 1
_cell_length_a 7.000
_cell_length_b 7.000
_cell_length_c 7.000
_cell_angle_alpha 90.00
_cell_angle_beta 90.00
_cell_angle_gamma 90.00
loop_
_symmetry_equiv_pos_as_xyz
'x,y,z'
loop_
_atom_site_label
_atom_site_fract_x
_atom_site_fract_y
_atom_site_fract_z
_atom_site_occupancy
Rb1 0.000 0.000 0.500 1
Rb2 0.000 0.500 0.000 1
Rb3 0.500 0.000 0.000 1
Cd1 0.500 0.500 0.500 1
Sn1 0.000 0.000 0.000 1
```

## Properties
Raw total energy in eV per atom: -1.464
ΔE_f in eV per atom: 0.242
Density in g cm⁻³: 2.36
Space group: Pm-3m, No. 221

***

This record from Alexandria via LeMat-Bulk describes a geometry-optimized RbCd2Sn2 structure. The functional is GGA-PBEsol.

Structure (CIF):
```
data_RbCd2Sn2
_symmetry_space_group_name_H-M 'P 1'
_symmetry_Int_Tables_number 1
_cell_length_a 6.984
_cell_length_b 6.984
_cell_length_c 6.984
_cell_angle_alpha 139.10
_cell_angle_beta 139.10
_cell_angle_gamma 59.22
loop_
_symmetry_equiv_pos_as_xyz
'x,y,z'
loop_
_atom_site_label
_atom_site_fract_x
_atom_site_fract_y
_atom_site_fract_z
_atom_site_occupancy
Rb1 0.000 0.000 0.000 1
Cd1 0.250 0.750 0.500 1
Cd2 0.750 0.250 0.500 1
Sn1 0.382 0.382 0.000 1
Sn2 0.618 0.618 0.000 1
```

## Properties
Raw total energy in eV per atom: -2.545
ΔE_f in eV per atom: -0.157
Density in g cm⁻³: 6.29
Space group: I4/mmm, No. 139

***

This record from Alexandria via LeMat-Bulk describes a geometry-optimized RbSrCd2 structure. The functional is GGA-PBEsol.

Structure (CIF):
```
data_RbSrCd2
_symmetry_space_group_name_H-M 'P 1'
_symmetry_Int_Tables_number 1
_cell_length_a 5.818
_cell_length_b 5.818
_cell_length_c 5.818
_cell_angle_alpha 60.00
_cell_angle_beta 60.00
_cell_angle_gamma 60.00
loop_
_symmetry_equiv_pos_as_xyz
'x,y,z'
loop_
_atom_site_label
_atom_site_fract_x
_atom_site_fract_y
_atom_site_fract_z
_atom_site_occupancy
Rb1 0.000 0.000 0.000 1
Sr1 0.500 0.500 0.500 1
Cd1 0.250 0.250 0.250 1
Cd2 0.750 0.750 0.750 1
```

## Properties
Raw total energy in eV per atom: -1.319
ΔE_f in eV per atom: -0.004
Density in g cm⁻³: 4.75
Space group: Fm-3m, No. 225

***

This record from Alexandria via LeMat-Bulk describes a geometry-optimized Rb2Cd2Tc structure. The functional is GGA-PBEsol.

Structure (CIF):
```
data_Rb2Cd2Tc
_symmetry_space_group_name_H-M 'P 1'
_symmetry_Int_Tables_number 1
_cell_length_a 8.622
_cell_length_b 8.622
_cell_length_c 8.622
_cell_angle_alpha 151.33
_cell_angle_beta 151.33
_cell_angle_gamma 40.99
loop_
_symmetry_equiv_pos_as_xyz
'x,y,z'
loop_
_atom_site_label
_atom_site_fract_x
_atom_site_fract_y
_atom_site_fract_z
_atom_site_occupancy
Rb1 0.250 0.750 0.500 1
Rb2 0.750 0.250 0.500 1
Cd1 0.081 0.081 0.000 1
Cd2 0.919 0.919 0.000 1
Tc1 0.500 0.500 0.000 1
```

## Properties
Raw total energy in eV per atom: -1.841
ΔE_f in eV per atom: 1.301
Density in g cm⁻³: 5.57
Space group: I4/mmm, No. 139

***

This record from Alexandria via LeMat-Bulk describes a geometry-optimized Rb3CdTc structure. The functional is GGA-PBEsol.

Structure (CIF):
```
data_Rb3CdTc
_symmetry_space_group_name_H-M 'P 1'
_symmetry_Int_Tables_number 1
_cell_length_a 6.343
_cell_length_b 6.343
_cell_length_c 6.343
_cell_angle_alpha 90.00
_cell_angle_beta 90.00
_cell_angle_gamma 90.00
loop_
_symmetry_equiv_pos_as_xyz
'x,y,z'
loop_
_atom_site_label
_atom_site_fract_x
_atom_site_fract_y
_atom_site_fract_z
_atom_site_occupancy
Rb1 0.000 0.000 0.500 1
Rb2 0.000 0.500 0.000 1
Rb3 0.500 0.000 0.000 1
Cd1 0.500 0.500 0.500 1
Tc1 0.000 0.000 0.000 1
```

## Properties
Raw total energy in eV per atom: -1.814
ΔE_f in eV per atom: 1.294
Density in g cm⁻³: 3.04
Space group: Pm-3m, No. 221

***

This record from Alexandria via LeMat-Bulk describes a geometry-optimized Rb2CdTe structure. The functional is GGA-PBEsol.

Structure (CIF):
```
data_Rb2CdTe
_symmetry_space_group_name_H-M 'P 1'
_symmetry_Int_Tables_number 1
_cell_length_a 6.013
_cell_length_b 6.013
_cell_length_c 6.013
_cell_angle_alpha 60.00
_cell_angle_beta 60.00
_cell_angle_gamma 60.00
loop_
_symmetry_equiv_pos_as_xyz
'x,y,z'
loop_
_atom_site_label
_atom_site_fract_x
_atom_site_fract_y
_atom_site_fract_z
_atom_site_occupancy
Rb1 0.250 0.250 0.250 1
Rb2 0.750 0.750 0.750 1
Cd1 0.000 0.000 0.000 1
Te1 0.500 0.500 0.500 1
```

## Properties
Raw total energy in eV per atom: -2.247
Formation energy (no corrections) in eV/atom: -0.553
Density in g cm⁻³: 4.44
Space group: Fm-3m, No. 225

***

This record from Alexandria via LeMat-Bulk describes a geometry-optimized Rb2Cd2Te structure. The functional is GGA-PBEsol.

Structure (CIF):
```
data_Rb2Cd2Te
_symmetry_space_group_name_H-M 'P 1'
_symmetry_Int_Tables_number 1
_cell_length_a 6.534
_cell_length_b 6.534
_cell_length_c 6.534
_cell_angle_alpha 115.77
_cell_angle_beta 115.77
_cell_angle_gamma 97.50
loop_
_symmetry_equiv_pos_as_xyz
'x,y,z'
loop_
_atom_site_label
_atom_site_fract_x
_atom_site_fract_y
_atom_site_fract_z
_atom_site_occupancy
Rb1 0.250 0.750 0.500 1
Rb2 0.750 0.250 0.500 1
Cd1 0.161 0.161 0.000 1
Cd2 0.839 0.839 0.000 1
Te1 0.500 0.500 0.000 1
```

## Properties
Raw total energy in eV per atom: -1.729
Formation energy (no corrections) in eV/atom: -0.135
Density in g cm⁻³: 4.18
Space group: I4/mmm, No. 139